Entry 1:
Here is a geometry-optimized PrY2UN4 structure from the Alexandria database. Energies are from PBE.

a = 4.9771 Å, b = 4.9771 Å, c = 6.0971 Å
α = 114.09°, β = 114.09°, γ = 90.00°
Last column: magnetic moment on the atom in μB.
Fractional positions:
N 0.5259 0.0259 0.0518  -0.03
N 0.9741 0.4741 0.9482  -0.03
Y 0.2500 0.7500 0.5000  0.07
N 0.7570 0.7570 0.5141  -0.05
Pr 0.5000 0.5000 0.0000  0.02
N 0.2430 0.2430 0.4859  -0.05
U 0.7500 0.2500 0.5000  1.18
Y 0.0000 0.0000 0.0000  0.01

Calculated values
E_form (uncorrected): -1.48 eV per atom
energy: -74.17 eV/f.u.


Entry 2:
Here is a geometry-optimized PrTl2Si2Au7 structure from the Alexandria database. Energies are from PBE.

a = 4.8586 Å, b = 4.8586 Å, c = 11.9060 Å
α = 83.35°, β = 83.35°, γ = 89.67°
Fractional positions:
Si 0.3232 0.3232 0.2145
Pr 0.0000 0.0000 0.0000
Au 0.5607 0.5607 0.6026
Tl 0.8826 0.8826 0.3891
Au 0.4393 0.4393 0.3974
Si 0.6768 0.6768 0.7855
Tl 0.1174 0.1174 0.6109
Au 0.4425 0.8617 0.1763
Au 0.8617 0.4425 0.1763
Au 0.5000 0.5000 0.0000
Au 0.5575 0.1383 0.8237
Au 0.1383 0.5575 0.8237

Calculated values
E_form (uncorrected): -0.24 eV per atom
energy: -46.14 eV/f.u.


Entry 3:
Here is a geometry-optimized KReCl2 structure from the Alexandria database. Energies are from PBE.

a = 6.2107 Å, b = 6.2107 Å, c = 6.3343 Å
α = 59.84°, β = 59.84°, γ = 28.77°
Last column: magnetic moment on the atom in μB.
Fractional positions:
K 0.7500 0.7500 0.7500  0.00
Re 0.2500 0.2500 0.2500  0.62
Cl 0.5722 0.5722 0.4307  0.02
Cl 0.9278 0.9278 0.0693  0.02

Calculated values
E_form (uncorrected): -0.01 eV per atom
energy: -17.28 eV/f.u.